1.
This record from Alexandria describes crystalline Tb3Ho4Sc4 at its relaxed geometry. The functional is PBE.

The structure in extended XYZ format:
```
11
Lattice="3.383 0.000 0.000 0.000 5.417 0.000 -1.687 -2.697 17.228" Properties=species:S:1:pos:R:3 pbc="T T T"
Tb 0.000 0.000 0.000
Tb 0.000 2.714 4.767
Tb 1.695 0.006 12.461
Ho 0.004 2.714 10.944
Ho 0.005 0.008 15.604
Ho 1.691 2.711 1.624
Ho 1.691 0.006 6.284
Sc 0.001 0.005 9.160
Sc 0.004 2.715 14.060
Sc 1.692 0.005 3.168
Sc 1.694 2.714 8.068
```

Symmetry   No. 2
DFT total energy   -5.161 eV/atom
Magnetic moment   0.0 μB per formula unit



2.
This record from Alexandria describes crystalline Nd6ErIn3 at its relaxed geometry. The functional is PBE.

The structure in extended XYZ format:
```
20
Lattice="6.517 -7.206 0.000 6.517 7.206 0.000 0.000 0.000 6.798" Properties=species:S:1:pos:R:3 pbc="T T T"
Nd 2.927 3.105 6.019
Nd 6.517 6.078 3.399
Nd 3.651 0.323 1.404
Nd 6.517 2.851 4.828
Nd 3.651 -0.323 4.803
Nd 2.927 -3.105 2.621
Nd 10.107 3.105 6.019
Nd 9.383 0.323 1.404
Nd 6.517 -2.851 1.429
Nd 9.383 -0.323 4.803
Nd 6.517 -6.078 0.000
Nd 10.107 -3.105 2.621
Er 6.517 2.765 1.308
Er 6.517 -2.765 4.706
In 5.068 5.401 6.701
In 7.967 5.401 6.701
In 6.517 0.035 3.069
In 6.517 -0.035 6.467
In 5.068 -5.401 3.302
In 7.967 -5.401 3.302
```

Symmetry   No. 36
DFT total energy   -4.351 eV/atom
Energy above the lowest structure with this stoichiometry   0.47 eV per formula unit
Magnetic moment   0.0 μB per formula unit



3.
This record from Alexandria describes crystalline Y3MgTe at its relaxed geometry. The functional is PBE.

The structure in extended XYZ format:
```
5
Lattice="5.662 0.000 0.000 0.000 5.662 0.000 0.000 0.000 5.662" Properties=species:S:1:pos:R:3 pbc="T T T"
Y 0.000 0.000 2.831
Y 0.000 2.831 0.000
Y 2.831 0.000 0.000
Mg 2.831 2.831 2.831
Te 0.000 0.000 0.000
```

Symmetry   No. 221
DFT total energy   -4.915 eV/atom
Energy above the lowest structure with this stoichiometry   0.00 eV per formula unit
Magnetic moment   0.0 μB per formula unit



4.
This record from Alexandria describes crystalline ReMoSe2 at its relaxed geometry. The functional is PBE.

The structure in extended XYZ format:
```
4
Lattice="3.096 -4.339 0.000 3.096 4.339 0.000 0.000 0.000 2.584" Properties=species:S:1:pos:R:3 pbc="T T T"
Re 0.000 0.000 0.000
Mo 3.096 0.000 0.000
Se 1.548 2.169 0.000
Se 1.548 -2.169 0.000
```

Symmetry   No. 65
DFT total energy   -6.866 eV/atom
Energy above the lowest structure with this stoichiometry   3.09 eV per formula unit
Magnetic moment   0.0 μB per formula unit



5.
This record from Alexandria describes crystalline HfSeBr2O at its relaxed geometry. The functional is PBE.

The structure in extended XYZ format:
```
5
Lattice="5.273 0.000 0.000 0.000 5.273 0.000 0.000 0.000 5.127" Properties=species:S:1:pos:R:3 pbc="T T T"
Hf 0.000 0.000 0.000
Se 0.000 0.000 2.563
Br 0.000 2.637 0.000
Br 2.637 0.000 0.000
O 2.637 2.637 2.563
```

Symmetry   No. 123
DFT total energy   -4.484 eV/atom
Energy above the lowest structure with this stoichiometry   0.00 eV per formula unit
Magnetic moment   0.4 μB per formula unit



6.
This record from Alexandria describes crystalline Ho2Mg13 at its relaxed geometry. The functional is PBE.

The structure in extended XYZ format:
```
15
Lattice="3.985 2.301 7.005 -3.985 2.301 7.005 0.000 -4.601 7.005" Properties=species:S:1:pos:R:3 pbc="T T T"
Ho 0.000 0.000 3.313
Ho 0.000 0.000 17.702
Mg 0.000 0.000 0.000
Mg 0.000 -1.782 6.021
Mg -1.544 0.891 6.021
Mg 0.000 -1.704 9.163
Mg -1.475 0.852 9.163
Mg -1.475 -0.852 11.851
Mg -1.544 -0.891 14.994
Mg 1.544 0.891 6.021
Mg 1.475 0.852 9.163
Mg 1.475 -0.852 11.851
Mg 0.000 1.704 11.851
Mg 1.544 -0.891 14.994
Mg 0.000 1.782 14.994
```

Symmetry   No. 166
DFT total energy   -1.848 eV/atom
Magnetic moment   0.0 μB per formula unit



7.
This record from Alexandria describes crystalline Zr2TcPbO at its relaxed geometry. The functional is PBE.

The structure in extended XYZ format:
```
5
Lattice="4.485 0.000 0.000 0.000 4.485 0.000 0.000 0.000 4.291" Properties=species:S:1:pos:R:3 pbc="T T T"
Zr 0.000 2.243 0.000
Zr 2.243 0.000 0.000
Tc 0.000 0.000 2.145
Pb 2.243 2.243 2.145
O 0.000 0.000 0.000
```

Symmetry   No. 123
DFT total energy   -7.966 eV/atom
Magnetic moment   0.0 μB per formula unit



8.
This record from Alexandria describes crystalline AcNiBiH at its relaxed geometry. The functional is PBE.

The structure in extended XYZ format:
```
4
Lattice="0.000 3.441 3.441 3.441 0.000 3.441 3.441 3.441 0.000" Properties=species:S:1:pos:R:3 pbc="T T T"
Ac 0.000 0.000 0.000
Ni 1.720 1.720 1.720
Bi 3.441 3.441 3.441
H 5.161 5.161 5.161
```

Symmetry   No. 216
DFT total energy   -4.467 eV/atom
Energy above the lowest structure with this stoichiometry   1.59 eV per formula unit
Magnetic moment   0.0 μB per formula unit



9.
This record from Alexandria describes crystalline Sc5Be3 at its relaxed geometry. The functional is PBE.

The structure in extended XYZ format:
```
16
Lattice="7.998 0.000 0.000 -3.999 6.927 0.000 0.000 0.000 5.339" Properties=species:S:1:pos:R:3 pbc="T T T"
Sc -0.971 1.681 1.335
Sc -3.028 5.245 4.005
Sc 1.941 0.000 1.335
Sc 0.971 1.681 4.005
Sc 0.000 4.618 0.000
Sc 0.000 4.618 2.670
Sc 3.999 2.309 0.000
Sc 3.999 2.309 2.670
Sc 6.057 0.000 4.005
Sc 3.028 5.245 1.335
Be -1.628 2.819 4.005
Be -2.371 4.107 1.335
Be 3.255 0.000 4.005
Be 1.628 2.819 1.335
Be 4.743 0.000 1.335
Be 2.371 4.107 4.005
```

Symmetry   No. 193
DFT total energy   -5.265 eV/atom
Energy above the lowest structure with this stoichiometry   0.00 eV per formula unit
Magnetic moment   0.0 μB per formula unit



10.
This record from Alexandria describes crystalline Ba6Te2Se3S at its relaxed geometry. The functional is PBE.

The structure in extended XYZ format:
```
12
Lattice="10.463 -2.395 0.000 10.463 2.395 0.000 -2.211 0.000 9.365" Properties=species:S:1:pos:R:3 pbc="T T T"
Ba -0.513 0.000 2.430
Ba 6.099 0.000 4.013
Ba 5.066 0.000 8.501
Ba 13.650 0.000 0.864
Ba 12.617 0.000 5.352
Ba 19.228 0.000 6.934
Te 1.644 0.000 7.795
Te 17.072 0.000 1.570
Se 2.750 0.000 3.145
Se 10.463 0.000 0.000
Se 15.966 0.000 6.220
S 9.358 0.000 4.682
```

Symmetry   No. 12
DFT total energy   -4.645 eV/atom
Magnetic moment   0.0 μB per formula unit



11.
This record from Alexandria describes crystalline ErZn4Sn at its relaxed geometry. The functional is PBE.

The structure in extended XYZ format:
```
6
Lattice="0.000 3.853 3.853 3.853 0.000 3.853 3.853 3.853 0.000" Properties=species:S:1:pos:R:3 pbc="T T T"
Er 0.000 0.000 0.000
Zn 4.820 2.886 2.886
Zn 2.886 4.820 2.886
Zn 2.886 2.886 4.820
Zn 4.820 4.820 4.820
Sn 1.927 1.927 1.927
```

Symmetry   No. 216
DFT total energy   -2.435 eV/atom
Magnetic moment   0.0 μB per formula unit



12.
This record from Alexandria describes crystalline Tm3Ag2Pd3 at its relaxed geometry. The functional is PBE.

The structure in extended XYZ format:
```
16
Lattice="8.372 0.000 0.000 -4.186 7.250 0.000 0.000 0.000 5.576" Properties=species:S:1:pos:R:3 pbc="T T T"
Tm -1.174 2.034 1.394
Tm -3.012 5.216 4.182
Tm 2.349 0.000 1.394
Tm 1.174 2.034 4.182
Tm 6.023 0.000 4.182
Tm 3.012 5.216 1.394
Ag 0.000 4.834 0.000
Ag 0.000 4.834 2.788
Ag 4.186 2.417 0.000
Ag 4.186 2.417 2.788
Pd -1.583 2.742 4.182
Pd -2.603 4.508 1.394
Pd 3.166 0.000 4.182
Pd 1.583 2.742 1.394
Pd 5.205 0.000 1.394
Pd 2.603 4.508 4.182
```

Symmetry   No. 193
DFT total energy   -4.975 eV/atom
Magnetic moment   0.0 μB per formula unit



13.
This record from Alexandria describes crystalline AcNd2Sm4Dy at its relaxed geometry. The functional is PBE.

The structure in extended XYZ format:
```
16
Lattice="6.963 -6.787 0.000 6.963 6.787 0.000 -3.525 0.000 6.071" Properties=species:S:1:pos:R:3 pbc="T T T"
Ac 3.482 3.393 0.000
Ac 1.719 -3.393 3.036
Nd 0.000 0.000 0.000
Nd -1.763 0.000 3.036
Nd 1.719 3.393 3.036
Nd 3.482 -3.393 0.000
Sm 1.709 0.104 3.152
Sm 5.147 3.326 3.122
Sm 3.492 3.326 5.984
Sm 3.472 -0.104 0.117
Sm 6.930 0.104 5.955
Sm 6.909 -3.326 0.087
Sm 5.255 -3.326 2.949
Sm 8.692 -0.104 2.919
Dy 6.963 0.000 0.000
Dy 5.201 0.000 3.036
```

Symmetry   No. 15
DFT total energy   -4.246 eV/atom
Magnetic moment   0.0 μB per formula unit



14.
This record from Alexandria describes crystalline Rb3HgF7 at its relaxed geometry. The functional is PBE.

The structure in extended XYZ format:
```
11
Lattice="4.572 -4.359 0.000 4.572 4.359 0.000 -3.714 0.000 6.195" Properties=species:S:1:pos:R:3 pbc="T T T"
Rb 0.000 0.000 0.000
Rb 2.742 1.977 3.170
Rb 2.742 -1.977 3.170
Hg 4.534 0.000 0.046
F 0.333 1.542 4.839
F 2.598 0.000 1.058
F 5.026 1.642 1.342
F 0.333 -1.542 4.839
F 2.787 0.000 5.291
F 5.026 -1.642 1.342
F 6.372 0.000 3.744
```

Symmetry   No. 8
DFT total energy   -3.432 eV/atom
Magnetic moment   2.0 μB per formula unit



15.
This record from Alexandria describes crystalline Ho2Ag2Pt at its relaxed geometry. The functional is PBE.

The structure in extended XYZ format:
```
5
Lattice="2.241 1.294 6.693 -2.241 1.294 6.693 0.000 -2.588 6.693" Properties=species:S:1:pos:R:3 pbc="T T T"
Ho 0.000 0.000 2.000
Ho 0.000 0.000 18.081
Ag 0.000 0.000 7.080
Ag 0.000 0.000 13.001
Pt 0.000 0.000 10.040
```

Symmetry   No. 166
DFT total energy   -4.786 eV/atom
Energy above the lowest structure with this stoichiometry   0.00 eV per formula unit
Magnetic moment   0.0 μB per formula unit



16.
This record from Alexandria describes crystalline KHg2Au at its relaxed geometry. The functional is PBE.

The structure in extended XYZ format:
```
4
Lattice="4.769 0.000 0.000 0.000 4.769 0.000 0.000 0.000 5.004" Properties=species:S:1:pos:R:3 pbc="T T T"
K 0.000 0.000 0.000
Hg 0.000 2.385 2.502
Hg 2.385 0.000 2.502
Au 2.385 2.385 0.000
```

Symmetry   No. 123
DFT total energy   -1.378 eV/atom
Energy above the lowest structure with this stoichiometry   0.52 eV per formula unit
Magnetic moment   0.0 μB per formula unit



17.
This record from Alexandria describes crystalline TaWN at its relaxed geometry. The functional is PBE.

The structure in extended XYZ format:
```
6
Lattice="5.098 0.000 0.000 0.000 3.008 0.000 -0.115 0.000 5.116" Properties=species:S:1:pos:R:3 pbc="T T T"
Ta 1.176 0.752 1.978
Ta 3.807 2.256 3.138
W 1.057 2.256 4.486
W 3.926 0.752 0.630
N 2.446 0.752 3.884
N 2.537 2.256 1.232
```

Symmetry   No. 11
DFT total energy   -11.391 eV/atom
Magnetic moment   0.0 μB per formula unit



18.
This record from Alexandria describes crystalline CaSc2Br at its relaxed geometry. The functional is PBE.

The structure in extended XYZ format:
```
4
Lattice="3.445 0.000 0.000 0.000 3.445 0.000 0.000 0.000 9.079" Properties=species:S:1:pos:R:3 pbc="T T T"
Ca 0.000 0.000 0.000
Sc 0.000 0.000 4.691
Sc 1.723 1.723 2.635
Br 1.723 1.723 6.849
```

Symmetry   No. 99
DFT total energy   -4.506 eV/atom
Energy above the lowest structure with this stoichiometry   0.14 eV per formula unit
Magnetic moment   0.0 μB per formula unit



19.
This record from Alexandria describes crystalline MnGa at its relaxed geometry. The functional is PBE.

The structure in extended XYZ format:
```
2
Lattice="2.734 0.000 0.000 -1.367 2.368 0.000 0.000 0.000 4.113" Properties=species:S:1:pos:R:3 pbc="T T T"
Mn 0.000 0.000 0.000
Ga 0.000 1.579 2.056
```

Symmetry   No. 187
DFT total energy   -6.133 eV/atom
Magnetic moment   1.8 μB per formula unit



20.
This record from Alexandria describes crystalline Pu2NiAs at its relaxed geometry. The functional is PBE.

The structure in extended XYZ format:
```
4
Lattice="3.750 0.000 0.000 0.000 3.750 0.000 0.000 0.000 5.669" Properties=species:S:1:pos:R:3 pbc="T T T"
Pu 0.000 0.000 1.405
Pu 0.000 0.000 4.264
Ni 1.875 1.875 0.000
As 1.875 1.875 2.834
```

Symmetry   No. 123
DFT total energy   -10.214 eV/atom
Energy above the lowest structure with this stoichiometry   0.00 eV per formula unit
Magnetic moment   11.0 μB per formula unit



21.
This record from Alexandria describes crystalline Rb2HfCoCl6 at its relaxed geometry. The functional is PBE.

The structure in extended XYZ format:
```
10
Lattice="-4.002 4.002 4.547 4.002 -4.002 4.547 4.002 4.002 -4.547" Properties=species:S:1:pos:R:3 pbc="T T T"
Rb 4.002 0.000 2.273
Rb 0.000 4.002 2.273
Hf 0.000 0.000 0.000
Co 0.000 0.000 4.547
Cl 1.768 1.768 0.000
Cl 2.234 -2.234 4.547
Cl 0.000 0.000 2.440
Cl 0.000 0.000 6.654
Cl -2.234 2.234 4.547
Cl 2.234 2.234 4.547
```

Symmetry   No. 139
DFT total energy   -4.392 eV/atom
Magnetic moment   1.0 μB per formula unit



22.
This record from Alexandria describes crystalline Ga2CoAu at its relaxed geometry. The functional is PBE.

The structure in extended XYZ format:
```
4
Lattice="4.016 0.000 0.000 0.000 4.016 0.000 0.000 0.000 3.655" Properties=species:S:1:pos:R:3 pbc="T T T"
Ga 0.000 2.008 0.000
Ga 2.008 0.000 0.000
Co 0.000 0.000 1.827
Au 2.008 2.008 1.827
```

Symmetry   No. 123
DFT total energy   -4.141 eV/atom
Energy above the lowest structure with this stoichiometry   0.42 eV per formula unit
Magnetic moment   0.7 μB per formula unit



23.
This record from Alexandria describes crystalline Sc3AlAu at its relaxed geometry. The functional is PBE.

The structure in extended XYZ format:
```
5
Lattice="5.137 0.000 0.000 0.000 5.137 0.000 0.000 0.000 5.137" Properties=species:S:1:pos:R:3 pbc="T T T"
Sc 0.000 0.000 2.569
Sc 0.000 2.569 0.000
Sc 2.569 0.000 0.000
Al 2.569 2.569 2.569
Au 0.000 0.000 0.000
```

Symmetry   No. 221
DFT total energy   -5.100 eV/atom
Energy above the lowest structure with this stoichiometry   0.00 eV per formula unit
Magnetic moment   0.0 μB per formula unit



24.
This record from Alexandria describes crystalline Sr2LaAl at its relaxed geometry. The functional is PBE.

The structure in extended XYZ format:
```
4
Lattice="3.763 0.000 0.000 0.000 3.763 0.000 0.000 0.000 10.633" Properties=species:S:1:pos:R:3 pbc="T T T"
Sr 0.000 0.000 2.136
Sr 0.000 0.000 8.498
La 1.881 1.881 5.317
Al 1.881 1.881 0.000
```

Symmetry   No. 123
DFT total energy   -2.960 eV/atom
Magnetic moment   0.0 μB per formula unit